# Lu4AsSN2

Crystalline Lu4AsSN2 at its relaxed geometry (PBE, OQMD via LeMat-Bulk).

The calculation puts the total energy at -7.08 eV per atom. As for the space group: P-6m2 (187).

Unit cell a=3.5328 b=3.5328 c=12.5546 alpha=90.00 beta=90.00 gamma=120.00
Sites, in units of the cell vectors:
Lu: 0.0000 0.0000 0.1436
Lu: 0.0000 0.0000 0.8564
Lu: 0.6667 0.3333 0.3468
Lu: 0.6667 0.3333 0.6532
As: 0.0000 0.0000 0.5000
S: 0.6667 0.3333 0.0000
N: 0.3333 0.6667 0.2403
N: 0.3333 0.6667 0.7597